# CoSb2IO | Alexandria | GGA-PBEsol | relaxed
data_CoSb2IO
_symmetry_space_group_name_H-M 'P 1'
_symmetry_Int_Tables_number 1
_cell_length_a 4.722
_cell_length_b 4.722
_cell_length_c 5.225
_cell_angle_alpha 90.00
_cell_angle_beta 90.00
_cell_angle_gamma 90.00
loop_
_symmetry_equiv_pos_as_xyz
'x,y,z'
loop_
_atom_site_label
_atom_site_fract_x
_atom_site_fract_y
_atom_site_fract_z
O1 0.500 0.500 0.500
Sb1 0.000 0.500 0.000
Sb2 0.500 0.000 0.000
Co1 0.000 0.000 0.000
I1 0.000 0.000 0.500
# Crystal system: tetragonal
# E_form (uncorrected) (eV per atom): 0.6523
# Symmetry: P4/mmm, No. 123

# KNbBr2 | Alexandria | GGA-PBEsol | relaxed
data_KNbBr2
_symmetry_space_group_name_H-M 'P 1'
_symmetry_Int_Tables_number 1
_cell_length_a 5.955
_cell_length_b 5.955
_cell_length_c 9.058
_cell_angle_alpha 109.19
_cell_angle_beta 109.19
_cell_angle_gamma 90.00
loop_
_symmetry_equiv_pos_as_xyz
'x,y,z'
loop_
_atom_site_label
_atom_site_fract_x
_atom_site_fract_y
_atom_site_fract_z
Nb1 0.250 0.750 0.500
Nb2 0.000 0.000 0.000
Br1 0.295 0.875 0.250
Br2 0.625 0.705 0.750
Br3 0.125 0.045 0.750
Br4 0.955 0.375 0.250
K1 0.750 0.250 0.500
K2 0.500 0.500 0.000
# Crystal system: tetragonal
# E_form (uncorrected) (eV per atom): -0.1614
# Symmetry: I-42d, No. 122

# CaTa2Se | Alexandria | GGA-PBEsol | relaxed
data_CaTa2Se
_symmetry_space_group_name_H-M 'P 1'
_symmetry_Int_Tables_number 1
_cell_length_a 3.917
_cell_length_b 3.917
_cell_length_c 5.141
_cell_angle_alpha 90.00
_cell_angle_beta 90.00
_cell_angle_gamma 90.00
loop_
_symmetry_equiv_pos_as_xyz
'x,y,z'
loop_
_atom_site_label
_atom_site_fract_x
_atom_site_fract_y
_atom_site_fract_z
Ca1 0.500 0.500 0.500
Ta1 0.000 0.500 0.000
Ta2 0.500 0.000 0.000
Se1 0.000 0.000 0.500
# Crystal system: tetragonal
# E_form (uncorrected) (eV per atom): 0.2534
# Symmetry: P4/mmm, No. 123

# NiPSeO2 | Alexandria | GGA-PBEsol | relaxed
data_NiPSeO2
_symmetry_space_group_name_H-M 'P 1'
_symmetry_Int_Tables_number 1
_cell_length_a 3.602
_cell_length_b 3.602
_cell_length_c 5.043
_cell_angle_alpha 90.00
_cell_angle_beta 90.00
_cell_angle_gamma 90.00
loop_
_symmetry_equiv_pos_as_xyz
'x,y,z'
loop_
_atom_site_label
_atom_site_fract_x
_atom_site_fract_y
_atom_site_fract_z
P1 0.000 0.000 0.500
Se1 0.000 0.000 0.000
Ni1 0.500 0.500 0.500
O1 0.000 0.500 0.000
O2 0.500 0.000 0.000
# Crystal system: tetragonal
# E_form (uncorrected) (eV per atom): 0.3060
# Symmetry: P4/mmm, No. 123
# Energy relative to the lowest polymorph listed for this composition (meV/atom): 263

# InFeAg4 | Alexandria | GGA-PBEsol | relaxed
data_InFeAg4
_symmetry_space_group_name_H-M 'P 1'
_symmetry_Int_Tables_number 1
_cell_length_a 5.336
_cell_length_b 5.336
_cell_length_c 5.336
_cell_angle_alpha 60.00
_cell_angle_beta 60.00
_cell_angle_gamma 60.00
loop_
_symmetry_equiv_pos_as_xyz
'x,y,z'
loop_
_atom_site_label
_atom_site_fract_x
_atom_site_fract_y
_atom_site_fract_z
Ag1 0.375 0.375 0.874
Ag2 0.874 0.375 0.375
Ag3 0.375 0.375 0.375
Ag4 0.375 0.874 0.375
Fe1 0.750 0.750 0.750
In1 0.000 0.000 0.000
# Crystal system: cubic
# Formation energy (kJ/mol of formula units): 234
# Symmetry: F-43m, No. 216

# NaLi15V16O48 | Alexandria | GGA-PBEsol | relaxed
data_NaLi15V16O48
_symmetry_space_group_name_H-M 'P 1'
_symmetry_Int_Tables_number 1
_cell_length_a 8.438
_cell_length_b 9.979
_cell_length_c 12.389
_cell_angle_alpha 97.28
_cell_angle_beta 90.00
_cell_angle_gamma 115.01
loop_
_symmetry_equiv_pos_as_xyz
'x,y,z'
loop_
_atom_site_label
_atom_site_fract_x
_atom_site_fract_y
_atom_site_fract_z
O1 0.000 0.394 0.908
O2 0.509 0.690 0.507
O3 0.748 0.356 0.718
O4 0.408 0.900 0.193
O5 0.986 0.554 0.363
O6 0.020 0.686 0.007
O7 0.238 0.653 0.823
O8 0.508 0.565 0.867
O9 0.501 0.402 0.412
O10 0.912 0.663 0.784
O11 0.327 0.828 0.438
O12 0.508 0.100 0.807
O13 0.657 0.157 0.034
O14 0.606 0.606 0.092
O15 0.585 0.347 0.177
O16 0.665 0.936 0.375
O17 0.499 0.172 0.562
O18 0.899 0.909 0.685
O19 0.334 0.314 0.993
O20 0.432 0.446 0.637
O21 0.166 0.415 0.434
O22 0.751 0.585 0.566
O23 0.819 0.310 0.493
O24 0.011 0.834 0.467
O25 0.744 0.193 0.258
O26 0.943 0.435 0.133
O27 0.728 0.064 0.625
O28 0.249 0.337 0.216
O29 0.685 0.424 0.947
O30 0.991 0.091 0.315
O31 0.738 0.666 0.327
O32 0.252 0.912 0.659
O33 0.752 0.916 0.154
O34 0.054 0.811 0.240
O35 0.261 0.576 0.053
O36 0.551 0.807 0.742
O37 0.072 0.334 0.673
O38 0.196 0.942 0.885
O39 0.339 0.088 0.341
O40 0.099 0.598 0.588
O41 0.501 0.843 0.966
O42 0.836 0.084 0.846
O43 0.176 0.166 0.533
O44 0.242 0.189 0.760
O45 0.254 0.058 0.115
O46 0.013 0.162 0.054
O47 0.392 0.644 0.282
O48 0.852 0.838 0.946
Li1 0.231 0.248 0.375
Li2 0.668 0.516 0.743
Li3 0.581 0.241 0.388
Li4 0.272 0.000 0.500
Li5 0.016 0.498 0.749
Li6 0.983 0.752 0.625
Li7 0.772 0.000 0.000
Li8 0.340 0.759 0.612
Li9 0.482 0.747 0.122
Li10 0.847 0.768 0.109
Li11 0.152 0.484 0.257
Li12 0.734 0.253 0.878
Li13 0.415 0.000 0.000
Li14 0.518 0.502 0.251
Li15 0.079 0.232 0.891
V1 0.787 0.032 0.269
V2 0.474 0.770 0.393
V3 0.533 0.479 0.981
V4 0.217 0.221 0.101
V5 0.018 0.472 0.477
V6 0.703 0.230 0.607
V7 0.995 0.779 0.899
V8 0.948 0.717 0.352
V9 0.547 0.528 0.523
V10 0.264 0.965 0.228
V11 0.054 0.521 0.019
V12 0.448 0.717 0.855
V13 0.299 0.035 0.772
V14 0.755 0.968 0.731
V15 0.231 0.283 0.648
V16 0.731 0.283 0.145
Na1 0.897 0.000 0.500
# Crystal system: monoclinic
# E_form (uncorrected) (eV per atom): -2.3279
# Symmetry: C2, No. 5

# HfBAu2 | Alexandria | GGA-PBEsol | relaxed
data_HfBAu2
_symmetry_space_group_name_H-M 'P 1'
_symmetry_Int_Tables_number 1
_cell_length_a 4.624
_cell_length_b 4.624
_cell_length_c 7.685
_cell_angle_alpha 107.51
_cell_angle_beta 107.51
_cell_angle_gamma 90.00
loop_
_symmetry_equiv_pos_as_xyz
'x,y,z'
loop_
_atom_site_label
_atom_site_fract_x
_atom_site_fract_y
_atom_site_fract_z
Au1 0.479 0.875 0.250
Au2 0.125 0.229 0.750
Au3 0.625 0.521 0.750
Au4 0.771 0.375 0.250
B1 0.500 0.500 0.000
B2 0.750 0.250 0.500
Hf1 0.250 0.750 0.500
Hf2 0.000 0.000 0.000
# Crystal system: tetragonal
# Formation energy (kJ/mol of formula units): 144
# Symmetry: I-42d, No. 122

# Sc2TlHg2 | Alexandria | GGA-PBEsol | relaxed
data_Sc2TlHg2
_symmetry_space_group_name_H-M 'P 1'
_symmetry_Int_Tables_number 1
_cell_length_a 3.549
_cell_length_b 7.857
_cell_length_c 7.857
_cell_angle_alpha 90.00
_cell_angle_beta 90.00
_cell_angle_gamma 90.00
loop_
_symmetry_equiv_pos_as_xyz
'x,y,z'
loop_
_atom_site_label
_atom_site_fract_x
_atom_site_fract_y
_atom_site_fract_z
Tl1 0.000 0.000 0.000
Tl2 0.000 0.500 0.500
Sc1 0.500 0.330 0.170
Sc2 0.500 0.830 0.330
Sc3 0.500 0.670 0.830
Sc4 0.500 0.170 0.670
Hg1 0.000 0.371 0.871
Hg2 0.000 0.629 0.129
Hg3 0.000 0.871 0.629
Hg4 0.000 0.129 0.371
# Crystal system: tetragonal
# Formation energy (kJ/mol of formula units): -182
# Symmetry: P4/mbm, No. 127

# Rb3ScOs | Alexandria | GGA-PBEsol | relaxed
data_Rb3ScOs
_symmetry_space_group_name_H-M 'P 1'
_symmetry_Int_Tables_number 1
_cell_length_a 6.654
_cell_length_b 6.654
_cell_length_c 6.654
_cell_angle_alpha 90.00
_cell_angle_beta 90.00
_cell_angle_gamma 90.00
loop_
_symmetry_equiv_pos_as_xyz
'x,y,z'
loop_
_atom_site_label
_atom_site_fract_x
_atom_site_fract_y
_atom_site_fract_z
Sc1 0.000 0.000 0.000
Rb1 0.000 0.000 0.500
Rb2 0.500 0.000 0.000
Rb3 0.000 0.500 0.000
Os1 0.500 0.500 0.500
# Crystal system: cubic
# Formation energy (kJ/mol of formula units): 1120
# Symmetry: Pm-3m, No. 221

# CdAuSeBr2 | Alexandria | GGA-PBEsol | relaxed
data_CdAuSeBr2
_symmetry_space_group_name_H-M 'P 1'
_symmetry_Int_Tables_number 1
_cell_length_a 5.066
_cell_length_b 5.066
_cell_length_c 5.224
_cell_angle_alpha 90.00
_cell_angle_beta 90.00
_cell_angle_gamma 90.00
loop_
_symmetry_equiv_pos_as_xyz
'x,y,z'
loop_
_atom_site_label
_atom_site_fract_x
_atom_site_fract_y
_atom_site_fract_z
Br1 0.500 0.000 0.000
Br2 0.000 0.500 0.000
Se1 0.000 0.000 0.500
Cd1 0.500 0.500 0.500
Au1 0.000 0.000 0.000
# Crystal system: tetragonal
# E_form (uncorrected) (eV per atom): 0.1720
# Symmetry: P4/mmm, No. 123

# Al2FeNi | Alexandria | GGA-PBEsol | relaxed
data_Al2FeNi
_symmetry_space_group_name_H-M 'P 1'
_symmetry_Int_Tables_number 1
_cell_length_a 4.020
_cell_length_b 4.020
_cell_length_c 4.020
_cell_angle_alpha 60.00
_cell_angle_beta 60.00
_cell_angle_gamma 60.00
loop_
_symmetry_equiv_pos_as_xyz
'x,y,z'
loop_
_atom_site_label
_atom_site_fract_x
_atom_site_fract_y
_atom_site_fract_z
Al1 0.750 0.750 0.750
Al2 0.250 0.250 0.250
Ni1 0.500 0.500 0.500
Fe1 0.000 0.000 0.000
# Crystal system: cubic
# Formation energy (kJ/mol of formula units): -199
# Symmetry: Fm-3m, No. 225

# NaMo2IO | Alexandria | GGA-PBEsol | relaxed
data_NaMo2IO
_symmetry_space_group_name_H-M 'P 1'
_symmetry_Int_Tables_number 1
_cell_length_a 4.335
_cell_length_b 5.118
_cell_length_c 5.118
_cell_angle_alpha 90.00
_cell_angle_beta 90.00
_cell_angle_gamma 90.00
loop_
_symmetry_equiv_pos_as_xyz
'x,y,z'
loop_
_atom_site_label
_atom_site_fract_x
_atom_site_fract_y
_atom_site_fract_z
Mo1 0.000 0.500 0.000
Mo2 0.000 0.000 0.500
O1 0.500 0.000 0.000
Na1 0.500 0.500 0.500
I1 0.000 0.000 0.000
# Crystal system: tetragonal
# E_form (uncorrected) (eV per atom): 1.6246
# Symmetry: P4/mmm, No. 123

# Sc3RhC4 | Alexandria | GGA-PBEsol | relaxed
data_Sc3RhC4
_symmetry_space_group_name_H-M 'P 1'
_symmetry_Int_Tables_number 1
_cell_length_a 5.569
_cell_length_b 5.570
_cell_length_c 6.687
_cell_angle_alpha 83.55
_cell_angle_beta 65.39
_cell_angle_gamma 74.34
loop_
_symmetry_equiv_pos_as_xyz
'x,y,z'
loop_
_atom_site_label
_atom_site_fract_x
_atom_site_fract_y
_atom_site_fract_z
C1 0.453 0.080 0.257
C2 0.710 0.080 0.743
C3 0.047 0.418 0.745
C4 0.792 0.418 0.255
C5 0.290 0.920 0.257
C6 0.953 0.582 0.255
C7 0.547 0.920 0.743
C8 0.208 0.582 0.745
Rh1 0.730 0.271 0.000
Rh2 0.270 0.729 0.000
Sc1 0.811 0.000 0.378
Sc2 0.240 0.239 0.000
Sc3 0.189 0.000 0.622
Sc4 0.690 0.500 0.619
Sc5 0.760 0.761 0.000
Sc6 0.310 0.500 0.381
# Crystal system: monoclinic
# Formation energy (kJ/mol of formula units): -440
# Symmetry: C2/m, No. 12

# Ca2TlHg | Alexandria | GGA-PBEsol | relaxed
data_Ca2TlHg
_symmetry_space_group_name_H-M 'P 1'
_symmetry_Int_Tables_number 1
_cell_length_a 3.708
_cell_length_b 5.353
_cell_length_c 5.353
_cell_angle_alpha 90.00
_cell_angle_beta 90.00
_cell_angle_gamma 90.00
loop_
_symmetry_equiv_pos_as_xyz
'x,y,z'
loop_
_atom_site_label
_atom_site_fract_x
_atom_site_fract_y
_atom_site_fract_z
Ca1 0.000 0.000 0.125
Ca2 0.000 0.500 0.625
Hg1 0.500 0.000 0.626
Tl1 0.500 0.500 0.124
# Crystal system: orthorhombic
# Formation energy (kJ/mol of formula units): -217
# Symmetry: Pmm2, No. 25

# TeSe2 | Alexandria | GGA-PBEsol | relaxed
data_TeSe2
_symmetry_space_group_name_H-M 'P 1'
_symmetry_Int_Tables_number 1
_cell_length_a 5.795
_cell_length_b 5.795
_cell_length_c 5.795
_cell_angle_alpha 102.06
_cell_angle_beta 113.30
_cell_angle_gamma 113.30
loop_
_symmetry_equiv_pos_as_xyz
'x,y,z'
loop_
_atom_site_label
_atom_site_fract_x
_atom_site_fract_y
_atom_site_fract_z
Se1 0.500 0.365 0.135
Se2 0.769 0.135 0.635
Se3 0.500 0.635 0.865
Se4 0.231 0.865 0.365
Te1 0.000 0.750 0.750
Te2 0.000 0.250 0.250
# Crystal system: tetragonal
# E_form (uncorrected) (eV per atom): 0.1983
# Symmetry: I4/mcm, No. 140
# Energy relative to the lowest polymorph listed for this composition (meV/atom): 228

# ReAsPb | Alexandria | GGA-PBEsol | relaxed
data_ReAsPb
_symmetry_space_group_name_H-M 'P 1'
_symmetry_Int_Tables_number 1
_cell_length_a 3.222
_cell_length_b 3.222
_cell_length_c 6.668
_cell_angle_alpha 90.00
_cell_angle_beta 90.00
_cell_angle_gamma 120.00
loop_
_symmetry_equiv_pos_as_xyz
'x,y,z'
loop_
_atom_site_label
_atom_site_fract_x
_atom_site_fract_y
_atom_site_fract_z
As1 0.000 0.000 0.058
Re1 0.667 0.333 0.300
Pb1 0.333 0.667 0.642
# Crystal system: trigonal
# Formation energy (kJ/mol of formula units): 102
# Symmetry: P3m1, No. 156

# Ge3BW | Alexandria | GGA-PBEsol | relaxed
data_Ge3BW
_symmetry_space_group_name_H-M 'P 1'
_symmetry_Int_Tables_number 1
_cell_length_a 4.826
_cell_length_b 4.826
_cell_length_c 4.826
_cell_angle_alpha 90.00
_cell_angle_beta 90.00
_cell_angle_gamma 90.00
loop_
_symmetry_equiv_pos_as_xyz
'x,y,z'
loop_
_atom_site_label
_atom_site_fract_x
_atom_site_fract_y
_atom_site_fract_z
B1 0.500 0.500 0.500
W1 0.000 0.000 0.000
Ge1 0.000 0.000 0.500
Ge2 0.000 0.500 0.000
Ge3 0.500 0.000 0.000
# Crystal system: cubic
# Formation energy (kJ/mol of formula units): 659
# Symmetry: Pm-3m, No. 221

# KMgZr4 | Alexandria | GGA-PBEsol | relaxed
data_KMgZr4
_symmetry_space_group_name_H-M 'P 1'
_symmetry_Int_Tables_number 1
_cell_length_a 6.008
_cell_length_b 6.008
_cell_length_c 6.008
_cell_angle_alpha 60.00
_cell_angle_beta 60.00
_cell_angle_gamma 60.00
loop_
_symmetry_equiv_pos_as_xyz
'x,y,z'
loop_
_atom_site_label
_atom_site_fract_x
_atom_site_fract_y
_atom_site_fract_z
Zr1 0.883 0.372 0.372
Zr2 0.372 0.372 0.883
Zr3 0.372 0.883 0.372
Zr4 0.372 0.372 0.372
Mg1 0.000 0.000 0.000
K1 0.750 0.750 0.750
# Crystal system: cubic
# Formation energy (kJ/mol of formula units): 381
# Symmetry: F-43m, No. 216

# PrZnSbO | Alexandria | GGA-PBEsol | relaxed
data_PrZnSbO
_symmetry_space_group_name_H-M 'P 1'
_symmetry_Int_Tables_number 1
_cell_length_a 4.158
_cell_length_b 4.158
_cell_length_c 9.454
_cell_angle_alpha 90.00
_cell_angle_beta 90.00
_cell_angle_gamma 90.00
loop_
_symmetry_equiv_pos_as_xyz
'x,y,z'
loop_
_atom_site_label
_atom_site_fract_x
_atom_site_fract_y
_atom_site_fract_z
O1 0.000 0.000 0.000
O2 0.500 0.500 0.000
Sb1 0.500 0.000 0.683
Sb2 0.000 0.500 0.317
Pr1 0.500 0.000 0.120
Pr2 0.000 0.500 0.880
Zn1 0.000 0.000 0.500
Zn2 0.500 0.500 0.500
# Crystal system: tetragonal
# E_form (uncorrected) (eV per atom): -1.6603
# Symmetry: P4/nmm, No. 129

# KBiIr3 | Alexandria | GGA-PBEsol | relaxed
data_KBiIr3
_symmetry_space_group_name_H-M 'P 1'
_symmetry_Int_Tables_number 1
_cell_length_a 4.701
_cell_length_b 4.701
_cell_length_c 4.701
_cell_angle_alpha 90.00
_cell_angle_beta 90.00
_cell_angle_gamma 90.00
loop_
_symmetry_equiv_pos_as_xyz
'x,y,z'
loop_
_atom_site_label
_atom_site_fract_x
_atom_site_fract_y
_atom_site_fract_z
Ir1 0.000 0.500 0.000
Ir2 0.000 0.000 0.500
Ir3 0.500 0.000 0.000
Bi1 0.500 0.500 0.500
K1 0.000 0.000 0.000
# Crystal system: cubic
# Formation energy (kJ/mol of formula units): 1350
# Symmetry: Pm-3m, No. 221